Arrangement P

CsTcPd, optimized geometry, DFT GGA-PBE; size of the total moment = 0.0 μB/cell
1.0
-8.975 1.370 0.557
-0.552 -2.706 -2.236
-0.554 -7.253 8.917
Cs Tc Pd
4 4 4
Direct
0.929 0.250 0.828
0.571 0.750 0.328
0.071 0.750 0.172
0.429 0.250 0.672
0.929 0.250 0.472
0.571 0.750 0.972
0.071 0.750 0.528
0.429 0.250 0.028
0.227 0.250 0.407
0.273 0.750 0.907
0.773 0.750 0.593
0.727 0.250 0.093



Arrangement Q

CsTcPd, optimized geometry, DFT GGA-PBE; size of the total moment = 0.0 μB/cell
1.0
-3.120 -1.391 -2.429
-3.795 -10.198 6.851
-2.368 2.176 1.795
Cs Tc Pd
2 2 2
Direct
0.727 0.839 0.378
0.399 0.451 0.921
0.593 0.090 0.904
0.533 0.200 0.412
0.015 0.235 0.916
0.111 0.055 0.404



Arrangement R

CsTcPd, optimized geometry, DFT GGA-PBE; size of the total moment = 0.0 μB/cell
1.0
-0.976 0.181 4.150
2.128 -12.263 0.507
4.044 0.498 -1.263
Cs Tc Pd
2 2 2
Direct
0.537 0.846 0.570
0.922 0.443 0.202
0.563 0.147 0.552
0.896 0.143 0.219
0.240 0.256 0.879
0.219 0.034 0.892



Relative energies with respect to the most stable structure, expressed in meV/atom: arrangement P 387; arrangement Q 123; arrangement R 0.



Arrangement P

CsTi3Pd, optimized geometry, DFT GGA-PBE; size of the total moment = 2.3 μB/cell
1.0
-4.306 -0.839 -2.186
-2.137 -0.460 4.387
-0.956 4.807 0.038
Cs Pd Ti
1 1 3
Direct
0.000 0.000 0.000
0.500 0.500 0.500
0.000 0.500 0.000
0.000 0.000 0.500
0.500 0.000 0.000



Arrangement Q

CsTi3Pd, optimized geometry, DFT GGA-PBE; size of the total moment = 0.0 μB/cell
1.0
5.017 0.000 0.000
0.000 5.017 0.000
0.000 0.000 5.017
Cs Pd Ti
1 1 3
Direct
0.500 0.500 0.500
0.000 0.000 0.000
0.000 0.500 0.000
0.000 0.000 0.500
0.500 0.000 0.000



Relative energies with respect to the most stable structure, expressed in meV/atom: arrangement P 1146; arrangement Q 0.



Arrangement P

CsTiPd3, optimized geometry, DFT GGA-PBE; size of the total moment = 0.6 μB/cell
1.0
-2.540 2.433 -3.512
-4.233 -1.992 1.682
-0.584 3.850 3.090
Cs Ti Pd
1 1 3
Direct
0.500 0.500 0.500
0.000 0.000 0.000
0.000 0.500 0.000
0.000 0.000 0.500
0.500 0.000 0.000



Arrangement Q

CsTiPd3, optimized geometry, DFT GGA-PBE; size of the total moment = 0.0 μB/cell
1.0
5.173 0.000 0.000
0.000 5.173 0.000
0.000 0.000 5.173
Cs Pd Ti
1 3 1
Direct
0.000 0.000 0.000
0.000 0.500 0.000
0.000 0.000 0.500
0.500 0.000 0.000
0.500 0.500 0.500



Relative energies with respect to the most stable structure, expressed in meV/atom: arrangement P 0; arrangement Q 1399.



Arrangement P

Cs3Tl3Pd2, optimized geometry, DFT GGA-PBE; size of the total moment = 0.0 μB/cell
1.0
-3.323 3.773 -0.155
0.346 -3.323 -6.676
-12.631 -10.927 4.785
Cs Tl Pd
6 6 4
Direct
0.938 0.876 0.394
0.062 0.124 0.894
0.938 0.876 0.106
0.062 0.124 0.606
0.609 0.219 0.250
0.391 0.781 0.750
0.676 0.352 0.461
0.324 0.648 0.961
0.676 0.352 0.039
0.324 0.648 0.539
0.309 0.619 0.250
0.691 0.381 0.750
0.777 0.554 0.895
0.223 0.446 0.395
0.777 0.554 0.605
0.223 0.446 0.105



Arrangement Q

Cs3Tl3Pd2, optimized geometry, DFT GGA-PBE; size of the total moment = 0.0 μB/cell
1.0
7.184 0.000 0.000
0.000 9.671 0.000
0.000 0.000 17.007
Cs Tl Pd
12 12 8
Direct
0.103 0.454 0.389
0.603 0.046 0.611
0.897 0.546 0.889
0.397 0.954 0.111
0.897 0.546 0.611
0.397 0.954 0.389
0.103 0.454 0.111
0.603 0.046 0.889
0.550 0.271 0.250
0.050 0.229 0.750
0.450 0.729 0.750
0.950 0.771 0.250
0.013 0.141 0.250
0.513 0.359 0.750
0.987 0.859 0.750
0.487 0.641 0.250
0.613 0.342 0.462
0.113 0.158 0.538
0.387 0.658 0.962
0.887 0.842 0.038
0.387 0.658 0.538
0.887 0.842 0.462
0.613 0.342 0.038
0.113 0.158 0.962
0.872 0.125 0.407
0.372 0.375 0.593
0.128 0.875 0.907
0.628 0.625 0.093
0.128 0.875 0.593
0.628 0.625 0.407
0.872 0.125 0.093
0.372 0.375 0.907



Relative energies with respect to the most stable structure, expressed in meV/atom: arrangement P 0; arrangement Q 43.